Arrangement w

LaAu2Br: single point on PBEsol structure, SCAN.

```
LaAu2Br
1.0
4.157 0.000 0.000
0.000 4.157 0.000
0.000 0.000 5.236
La Au Br
1 2 1
Cartesian
0.000 0.000 0.000
0.000 2.079 2.618
2.079 0.000 2.618
2.079 2.079 0.000
```

Values from the calculation:
* spin magnetization: 0.0 μB per cell


Arrangement x

LaAu2Br: single point on PBEsol structure, SCAN.

```
LaAu2Br
1.0
7.229 0.000 0.000
0.000 7.229 0.000
0.000 0.000 7.229
La Au Br
4 8 4
Cartesian
0.000 0.000 0.000
0.000 3.615 3.615
3.615 0.000 3.615
3.615 3.615 0.000
1.807 1.807 1.807
1.807 1.807 5.422
1.807 5.422 1.807
1.807 5.422 5.422
5.422 1.807 1.807
5.422 1.807 5.422
5.422 5.422 1.807
5.422 5.422 5.422
0.000 0.000 3.615
0.000 3.615 0.000
3.615 0.000 0.000
3.615 3.615 3.615
```

Values from the calculation:
* spin magnetization: 0.0 μB per cell


What should be chosen as the least stable of them? Choose arrangement x.


Arrangement w

Mo2AuBr: single point on PBEsol structure, SCAN.

```
Mo2AuBr
1.0
4.690 0.000 0.000
0.000 4.690 0.000
0.000 0.000 2.915
Mo Au Br
2 1 1
Cartesian
0.000 2.345 0.000
2.345 0.000 0.000
0.000 0.000 1.458
2.345 2.345 1.458
```

Values from the calculation:
* spin magnetization: 0.0 μB per cell


Arrangement x

Mo2AuBr: single point on PBEsol structure, SCAN.

```
Mo2AuBr
1.0
10.039 0.000 0.000
0.000 2.856 0.000
-1.381 0.000 4.658
Mo Au Br
4 2 2
Cartesian
0.000 0.000 0.000
1.445 0.000 3.496
5.020 1.428 0.000
6.464 1.428 3.496
4.245 0.000 2.378
9.265 1.428 2.378
1.990 1.428 0.833
7.009 0.000 0.833
```

Values from the calculation:
* spin magnetization: 0.0 μB per cell


Arrangement y

Mo2AuBr: single point on PBEsol structure, SCAN.

```
Mo2AuBr
1.0
3.036 0.000 0.000
0.000 4.692 0.000
0.000 0.000 9.329
Mo Au Br
4 2 2
Cartesian
0.000 0.000 2.178
0.000 0.000 7.151
1.518 2.346 2.487
1.518 2.346 6.843
0.000 2.346 0.000
1.518 0.000 4.665
0.000 2.346 4.665
1.518 0.000 0.000
```

Values from the calculation:
* spin magnetization: 0.0 μB per cell


Arrangement z

Mo2AuBr: single point on PBEsol structure, SCAN.

```
Mo2AuBr
1.0
8.367 0.000 0.000
0.000 2.910 0.000
-0.936 0.000 5.421
Mo Au Br
4 2 2
Cartesian
1.836 0.000 1.431
1.411 1.455 3.990
6.020 1.455 1.431
5.594 0.000 3.990
0.000 1.455 0.000
4.184 0.000 0.000
-0.468 0.000 2.711
3.715 1.455 2.711
```

Values from the calculation:
* spin magnetization: 0.0 μB per cell


What should be chosen as the least stable of them? Choose arrangement y.